First-principles (PBE+U) data for a relaxed structure of Li2CrInO, as listed in the Alexandria database.

Output
- crystal system = tetragonal

Lattice parameters (Å, degrees): 4.866 5.333 4.866 90.00 90.00 90.00
Atoms (fractional coordinates):
Cr1 0.000 0.000 0.000
Li1 0.000 0.000 0.500
Li2 0.500 0.000 0.000
O1 0.500 0.500 0.500
In1 0.000 0.500 0.000

***

First-principles (PBE+U) data for a relaxed structure of MnV2O6, as listed in the Alexandria database.

Output
- crystal system = tetragonal

Lattice parameters (Å, degrees): 4.648 4.648 8.709 90.00 90.00 90.00
Atoms (fractional coordinates):
Mn1 0.500 0.500 0.000
Mn2 0.000 0.000 0.500
V1 0.500 0.500 0.334
V2 0.500 0.500 0.666
V3 0.000 0.000 0.166
V4 0.000 0.000 0.834
O1 0.699 0.699 0.174
O2 0.699 0.699 0.826
O3 0.685 0.685 0.500
O4 0.815 0.185 0.000
O5 0.801 0.199 0.326
O6 0.801 0.199 0.674
O7 0.199 0.801 0.326
O8 0.199 0.801 0.674
O9 0.185 0.815 0.000
O10 0.315 0.315 0.500
O11 0.301 0.301 0.174
O12 0.301 0.301 0.826

***

Total moment: 1.03, 0.56 (μB/atom)
Total energy: -3.09, -7.56 (eV/atom)